No. 1
The following is a GGA-PBE calculation of a geometry-optimized CoReTc structure, from OQMD via LeMat-Bulk.

DFT formation energy: 0.589 eV/atom
energy relative to the lowest polymorph listed for this composition: 0 meV per atom
magnetization: 0.0 μB/f.u.

Unit cell a=4.065 b=4.065 c=4.065 alpha=60.00 beta=60.00 gamma=60.00
Element x y z (fractional)
Co 0.250 0.250 0.250
Re 0.000 0.000 0.000
Tc 0.750 0.750 0.750



No. 2
The following is a GGA-PBE calculation of a geometry-optimized LaPaTe structure, from OQMD via LeMat-Bulk.

energy relative to the lowest polymorph listed for this composition: 0 meV per atom
magnetization: 2.5 μB/f.u.

Unit cell a=5.209 b=5.209 c=5.209 alpha=60.00 beta=60.00 gamma=60.00
Element x y z (fractional)
Pa 0.750 0.750 0.750
Te 0.000 0.000 0.000
La 0.250 0.250 0.250



No. 3
The following is a GGA-PBE calculation of a geometry-optimized NbFeB3 structure, from OQMD via LeMat-Bulk.

energy: -7.21 eV/atom
magnetization: 1.5 μB/f.u.

Unit cell a=14.328 b=14.328 c=2.693 alpha=90.00 beta=90.00 gamma=168.11
Site moments in Bohr magnetons follow the coordinates.
Element x y z (fractional)
B 0.145 0.855 0.000  -0.01
B 0.855 0.145 0.000  -0.01
Fe 0.540 0.460 0.000  1.67
B 0.617 0.383 0.000  -0.02
Fe 0.460 0.540 0.000  1.67
B 0.383 0.617 0.000  -0.02
Nb 0.296 0.704 0.000  -0.02
B 0.915 0.085 0.000  -0.07
Nb 0.704 0.296 0.000  -0.02
B 0.085 0.915 0.000  -0.07



No. 4
The following is a GGA-PBE calculation of a geometry-optimized SrOsPd structure, from OQMD via LeMat-Bulk.

energy relative to the lowest polymorph listed for this composition: 732 meV per atom
magnetization: 2.2 μB/f.u.

Unit cell a=4.742 b=4.742 c=4.742 alpha=60.00 beta=60.00 gamma=60.00
Element x y z (fractional)
Pd 0.750 0.750 0.750
Sr 0.000 0.000 0.000
Os 0.250 0.250 0.250



No. 5
The following is a GGA-PBE calculation of a geometry-optimized RbTePd structure, from OQMD via LeMat-Bulk.

energy: -2.59 eV/atom

Unit cell a=5.387 b=5.387 c=5.387 alpha=60.00 beta=60.00 gamma=60.00
Element x y z (fractional)
Pd 0.250 0.250 0.250
Rb 0.000 0.000 0.000
Te 0.750 0.750 0.750



No. 6
The following is a GGA-PBE calculation of a geometry-optimized LaZrNO structure, from OQMD via LeMat-Bulk.

energy relative to the lowest polymorph listed for this composition: 193 meV per atom
magnetization: 0.0 μB/f.u.

Unit cell a=4.608 b=4.608 c=6.206 alpha=90.00 beta=90.00 gamma=90.00
Element x y z (fractional)
O 0.500 0.500 0.000
La 0.000 0.000 0.500
Zr 0.000 0.500 0.966
N 0.000 0.500 0.646
Zr 0.500 0.000 0.034
O 0.000 0.000 0.000
La 0.500 0.500 0.500
N 0.500 0.000 0.354



No. 7
The following is a GGA-PBE calculation of a geometry-optimized TmHfZr structure, from OQMD via LeMat-Bulk.

DFT formation energy: 0.901 eV/atom
energy relative to the lowest polymorph listed for this composition: 0 meV per atom
magnetization: 1.5 μB/f.u.

Unit cell a=4.963 b=4.963 c=4.963 alpha=60.00 beta=60.00 gamma=60.00
Site moments in Bohr magnetons follow the coordinates.
Element x y z (fractional)
Hf 0.250 0.250 0.250  0.34
Tm 0.750 0.750 0.750  0.16
Zr 0.000 0.000 0.000  0.65



No. 8
The following is a GGA-PBE calculation of a geometry-optimized Pr3Mg3Cd2Hg structure, from OQMD via LeMat-Bulk.

energy: -2.65 eV/atom
magnetization: 0.0 μB/f.u.

Unit cell a=7.715 b=7.715 c=4.699 alpha=90.00 beta=90.00 gamma=120.00
Element x y z (fractional)
Pr 0.410 0.000 0.000
Mg 0.239 0.239 0.500
Hg 0.000 0.000 0.000
Pr 0.590 0.590 0.000
Pr 0.000 0.410 0.000
Mg 0.761 0.000 0.500
Cd 0.333 0.667 0.500
Cd 0.667 0.333 0.500
Mg 0.000 0.761 0.500



No. 9
The following is a GGA-PBE calculation of a geometry-optimized CuSe4I structure, from OQMD via LeMat-Bulk.

energy: -3.16 eV/atom

Unit cell a=7.109 b=7.969 c=7.981 alpha=96.86 beta=114.01 gamma=105.00
Element x y z (fractional)
Se 0.707 0.347 0.844
Se 0.818 0.883 0.729
Se 0.182 0.117 0.271
Cu 0.060 0.828 0.029
Cu 0.940 0.172 0.971
Se 0.800 0.017 0.177
Se 0.831 0.583 0.093
Se 0.293 0.653 0.156
I 0.724 0.251 0.379
Se 0.169 0.417 0.907
Se 0.200 0.983 0.823
I 0.276 0.749 0.621



No. 10
The following is a GGA-PBE calculation of a geometry-optimized Nb2NiW structure, from OQMD via LeMat-Bulk.

DFT formation energy: 0.158 eV/atom
magnetization: 0.0 μB/f.u.

Unit cell a=4.469 b=4.469 c=4.469 alpha=60.00 beta=60.00 gamma=60.00
Element x y z (fractional)
Nb 0.000 0.000 0.000
Nb 0.750 0.750 0.750
W 0.500 0.500 0.500
Ni 0.250 0.250 0.250



No. 11
The following is a GGA-PBE calculation of a geometry-optimized LiBeMo structure, from OQMD via LeMat-Bulk.

energy relative to the lowest polymorph listed for this composition: 0 meV per atom
magnetization: 0.1 μB/f.u.

Unit cell a=3.807 b=3.807 c=3.807 alpha=60.00 beta=60.00 gamma=60.00
Element x y z (fractional)
Mo 0.750 0.750 0.750
Li 0.250 0.250 0.250
Be 0.000 0.000 0.000



No. 12
The following is a GGA-PBE calculation of a geometry-optimized LaLuTa structure, from OQMD via LeMat-Bulk.

DFT formation energy: 0.888 eV/atom
energy relative to the lowest polymorph listed for this composition: 0 meV per atom
magnetization: 1.6 μB/f.u.

Unit cell a=5.044 b=5.044 c=5.044 alpha=60.00 beta=60.00 gamma=60.00
Element x y z (fractional)
Ta 0.000 0.000 0.000
Lu 0.750 0.750 0.750
La 0.250 0.250 0.250